1.
# CoPb2Au2

An optimized crystal structure of CoPb2Au2 (PBE-GGA, the Alexandria database).

Geometry as POSCAR:
```
CoPb2Au2
1.0
6.931 0.000 0.000
0.000 6.931 0.000
0.000 0.000 4.724
Pb Co Au
4 2 4
Direct
0.175 0.675 0.500 Pb
0.675 0.825 0.500 Pb
0.825 0.325 0.500 Pb
0.325 0.175 0.500 Pb
0.000 0.000 0.000 Co
0.500 0.500 0.000 Co
0.353 0.853 0.000 Au
0.853 0.647 0.000 Au
0.647 0.147 0.000 Au
0.147 0.353 0.000 Au
```

Summary:
E_form ... 305 meV/atom
Crystal system ... tetragonal



2.
# CoPbAu2Se

An optimized crystal structure of CoPbAu2Se (PBE-GGA, the Alexandria database).

Geometry as POSCAR:
```
CoPbAu2Se
1.0
4.990 0.000 0.000
0.000 4.270 0.000
0.000 0.000 4.990
Pb Co Au Se
1 1 2 1
Direct
0.500 0.500 0.500 Pb
0.000 0.500 0.000 Co
0.000 0.000 0.500 Au
0.500 0.000 0.000 Au
0.000 0.000 0.000 Se
```

Summary:
E_form (uncorrected) ... 0.46 eV/atom
Crystal system ... tetragonal



3.
# Co2TePbAu

An optimized crystal structure of Co2TePbAu (PBE-GGA, the Alexandria database).

Geometry as POSCAR:
```
Co2TePbAu
1.0
-4.044 -2.533 -0.807
-0.399 -1.243 5.907
-2.639 4.002 0.664
Pb Co Te Au
1 2 1 1
Direct
0.000 0.000 0.000 Pb
0.000 0.000 0.500 Co
0.500 0.000 0.000 Co
0.000 0.500 0.000 Te
0.500 0.500 0.500 Au
```

Summary:
E_form (uncorrected) ... 1.46 eV/atom
Crystal system ... tetragonal



4.
# CoPd6Au

An optimized crystal structure of CoPd6Au (PBE-GGA, the Alexandria database).

Geometry as POSCAR:
```
CoPd6Au
1.0
-2.558 -1.090 2.792
-1.978 -2.144 -2.649
4.486 -6.218 1.684
Co Pd Au
1 6 1
Direct
0.000 0.000 0.500 Co
0.500 0.500 0.000 Pd
0.500 0.500 0.500 Pd
0.500 0.000 0.262 Pd
0.500 0.000 0.738 Pd
0.000 0.500 0.262 Pd
0.000 0.500 0.738 Pd
0.000 0.000 0.000 Au
```

Summary:
E_form ... 1 meV/atom
Crystal system ... tetragonal



5.
# Co2PdAu2

An optimized crystal structure of Co2PdAu2 (PBE-GGA, the Alexandria database).

Geometry as POSCAR:
```
Co2PdAu2
1.0
7.242 0.000 0.000
0.000 7.242 0.000
0.000 0.000 2.921
Co Au Pd
4 4 2
Direct
0.389 0.889 0.000 Co
0.889 0.611 0.000 Co
0.611 0.111 0.000 Co
0.111 0.389 0.000 Co
0.183 0.683 0.500 Au
0.683 0.817 0.500 Au
0.817 0.317 0.500 Au
0.317 0.183 0.500 Au
0.000 0.000 0.000 Pd
0.500 0.500 0.000 Pd
```

Summary:
E_form ... 270 meV/atom
Crystal system ... tetragonal



6.
# CoPd4Au

An optimized crystal structure of CoPd4Au (PBE-GGA, the Alexandria database).

Geometry as POSCAR:
```
CoPd4Au
1.0
4.812 0.000 -0.402
0.000 6.621 0.000
-1.905 -3.310 6.169
Co Pd Au
2 8 2
Direct
0.277 0.500 0.000 Co
0.723 0.500 0.000 Co
0.178 0.678 0.355 Pd
0.378 0.095 0.755 Pd
0.000 0.194 0.000 Pd
0.622 0.339 0.245 Pd
0.822 0.322 0.645 Pd
0.622 0.905 0.245 Pd
0.000 0.806 0.000 Pd
0.378 0.661 0.755 Pd
0.796 0.796 0.591 Au
0.204 0.204 0.409 Au
```

Summary:
E_form ... 117 meV/atom
Energy above the lowest structure with this stoichiometry ... 10.91 kJ per mole of atoms
Crystal system ... monoclinic



7.
# Co2Pd2Au

An optimized crystal structure of Co2Pd2Au (PBE-GGA, the Alexandria database).

Geometry as POSCAR:
```
Co2Pd2Au
1.0
7.275 0.000 0.000
0.000 7.275 0.000
0.000 0.000 2.771
Co Au Pd
4 2 4
Direct
0.388 0.888 0.000 Co
0.888 0.612 0.000 Co
0.612 0.112 0.000 Co
0.112 0.388 0.000 Co
0.000 0.000 0.000 Au
0.500 0.500 0.000 Au
0.180 0.680 0.500 Pd
0.680 0.820 0.500 Pd
0.820 0.320 0.500 Pd
0.320 0.180 0.500 Pd
```

Summary:
E_form ... 165 meV/atom
Energy above the lowest structure with this stoichiometry ... 0.00 kJ per mole of atoms
Crystal system ... tetragonal



8.
# Co4PdAu

An optimized crystal structure of Co4PdAu (PBE-GGA, the Alexandria database).

Geometry as POSCAR:
```
Co4PdAu
1.0
4.799 0.000 0.000
2.400 4.156 0.000
2.400 1.385 3.919
Co Au Pd
4 1 1
Direct
0.625 0.625 0.126 Co
0.625 0.126 0.625 Co
0.625 0.625 0.625 Co
0.126 0.625 0.625 Co
0.000 0.000 0.000 Au
0.250 0.250 0.250 Pd
```

Summary:
E_form ... 133 meV/atom
Crystal system ... cubic



9.
# CoPdAu

An optimized crystal structure of CoPdAu (PBE-GGA, the Alexandria database).

Geometry as POSCAR:
```
CoPdAu
1.0
2.813 0.000 0.000
0.000 2.813 0.000
-1.406 -1.406 5.667
Au Co Pd
1 1 1
Direct
0.008 0.008 0.016 Au
0.673 0.673 0.345 Co
0.320 0.320 0.639 Pd
```

Summary:
E_form ... 82 meV/atom
Energy above the lowest structure with this stoichiometry ... 5.91 kJ per mole of atoms
Crystal system ... tetragonal



10.
# CoPdAu

An optimized crystal structure of CoPdAu (PBE-GGA, the Alexandria database).

Geometry as POSCAR:
```
CoPdAu
1.0
2.794 -0.001 0.194
0.000 2.800 0.006
-0.754 -0.025 11.372
Co Pd Au
2 2 2
Direct
0.872 0.291 0.817 Co
0.373 0.791 0.696 Co
0.874 0.291 0.541 Pd
0.370 0.791 0.972 Pd
0.871 0.291 0.157 Au
0.375 0.791 0.355 Au
```

Summary:
E_form ... 21 meV/atom
Energy above the lowest structure with this stoichiometry ... 0.00 kJ per mole of atoms
Crystal system ... monoclinic



11.
# Co2Pd8Au

An optimized crystal structure of Co2Pd8Au (PBE-GGA, the Alexandria database).

Geometry as POSCAR:
```
Co2Pd8Au
1.0
-1.547 -1.941 1.263
5.434 -4.677 -0.531
4.657 -0.528 7.970
Co Pd Au
2 8 1
Direct
0.311 0.306 0.347 Co
0.689 0.694 0.592 Co
0.916 0.572 0.137 Pd
0.181 0.990 0.607 Pd
0.302 0.664 0.364 Pd
0.446 0.267 0.077 Pd
0.697 0.337 0.575 Pd
0.818 0.010 0.332 Pd
0.083 0.428 0.802 Pd
0.553 0.734 0.862 Pd
0.999 0.000 0.970 Au
```

Summary:
E_form ... 79 meV/atom
Crystal system ... monoclinic



12.
# CoPdAu

An optimized crystal structure of CoPdAu (PBE-GGA, the Alexandria database).

Geometry as POSCAR:
```
CoPdAu
1.0
2.799 0.000 0.000
-1.400 2.424 0.000
0.000 0.000 6.659
Co Au Pd
1 1 1
Direct
0.667 0.333 0.342 Co
0.000 0.000 0.012 Au
0.333 0.667 0.646 Pd
```

Summary:
E_form ... 129 meV/atom
Energy above the lowest structure with this stoichiometry ... 10.45 kJ per mole of atoms
Crystal system ... trigonal



13.
# Co2Pd7Au

An optimized crystal structure of Co2Pd7Au (PBE-GGA, the Alexandria database).

Geometry as POSCAR:
```
Co2Pd7Au
1.0
-1.999 2.424 2.759
2.188 -4.255 5.324
4.047 5.569 -1.960
Co Pd Au
2 7 1
Direct
0.500 0.696 0.304 Co
0.500 0.304 0.696 Co
0.000 0.782 0.218 Pd
0.000 0.218 0.782 Pd
0.500 0.071 0.307 Pd
0.500 0.929 0.693 Pd
0.500 0.307 0.071 Pd
0.500 0.693 0.929 Pd
0.500 0.500 0.500 Pd
0.000 0.000 0.000 Au
```

Summary:
E_form ... 510 meV/atom
Crystal system ... orthorhombic



14.
# Co2Pd6Au

An optimized crystal structure of Co2Pd6Au (PBE-GGA, the Alexandria database).

Geometry as POSCAR:
```
Co2Pd6Au
1.0
4.091 0.000 0.000
0.000 7.914 3.138
0.000 -0.337 8.506
Co Pd Au
4 12 2
Direct
0.250 0.656 0.781 Co
0.250 0.219 0.344 Co
0.750 0.344 0.219 Co
0.750 0.781 0.656 Co
0.250 0.723 0.475 Pd
0.250 0.525 0.277 Pd
0.750 0.277 0.525 Pd
0.750 0.475 0.723 Pd
0.750 0.015 0.386 Pd
0.750 0.614 0.985 Pd
0.250 0.985 0.614 Pd
0.250 0.386 0.015 Pd
0.250 0.819 0.988 Pd
0.250 0.012 0.181 Pd
0.750 0.181 0.012 Pd
0.750 0.988 0.819 Pd
0.250 0.234 0.766 Au
0.750 0.766 0.234 Au
```

Summary:
E_form ... 121 meV/atom
Crystal system ... orthorhombic



15.
# Co2Pd2Au

An optimized crystal structure of Co2Pd2Au (PBE-GGA, the Alexandria database).

Geometry as POSCAR:
```
Co2Pd2Au
1.0
-5.108 -5.200 -1.129
4.985 -4.129 -3.537
0.689 -1.189 2.359
Co Au Pd
4 2 4
Direct
0.167 0.667 0.500 Co
0.667 0.833 0.500 Co
0.833 0.333 0.500 Co
0.333 0.167 0.500 Co
0.000 0.000 0.000 Au
0.500 0.500 0.000 Au
0.370 0.870 0.000 Pd
0.870 0.630 0.000 Pd
0.630 0.130 0.000 Pd
0.130 0.370 0.000 Pd
```

Summary:
E_form ... 216 meV/atom
Energy above the lowest structure with this stoichiometry ... 4.87 kJ per mole of atoms
Crystal system ... tetragonal



16.
# CoPd4Au

An optimized crystal structure of CoPd4Au (PBE-GGA, the Alexandria database).

Geometry as POSCAR:
```
CoPd4Au
1.0
2.787 0.000 0.000
0.000 3.872 0.000
0.000 0.001 8.457
Co Pd Au
1 4 1
Direct
0.500 0.000 0.500 Co
0.000 0.500 0.345 Pd
0.500 0.000 0.180 Pd
0.000 0.500 0.655 Pd
0.500 0.000 0.820 Pd
0.000 0.500 0.000 Au
```

Summary:
E_form ... 4 meV/atom
Energy above the lowest structure with this stoichiometry ... 0.00 kJ per mole of atoms
Crystal system ... orthorhombic



17.
# CoPd9Au2

An optimized crystal structure of CoPd9Au2 (PBE-GGA, the Alexandria database).

Geometry as POSCAR:
```
CoPd9Au2
1.0
3.961 0.000 0.000
0.000 3.961 0.000
0.000 0.000 11.846
Co Pd Au
1 9 2
Direct
0.000 0.000 0.000 Co
0.500 0.500 0.000 Pd
0.500 0.500 0.328 Pd
0.500 0.500 0.672 Pd
0.500 0.000 0.156 Pd
0.500 0.000 0.500 Pd
0.500 0.000 0.844 Pd
0.000 0.500 0.156 Pd
0.000 0.500 0.500 Pd
0.000 0.500 0.844 Pd
0.000 0.000 0.329 Au
0.000 0.000 0.671 Au
```

Summary:
E_form ... -14 meV/atom
Crystal system ... tetragonal



18.
# CoPd4Au2

An optimized crystal structure of CoPd4Au2 (PBE-GGA, the Alexandria database).

Geometry as POSCAR:
```
CoPd4Au2
1.0
4.565 0.000 0.000
0.000 4.565 0.000
-2.282 -2.282 6.622
Co Pd Au
1 4 2
Direct
0.000 0.000 0.000 Co
0.822 0.822 0.645 Pd
0.178 0.178 0.355 Pd
0.000 0.500 0.000 Pd
0.500 0.000 0.000 Pd
0.621 0.621 0.241 Au
0.379 0.379 0.759 Au
```

Summary:
E_form ... 628 meV/atom
Crystal system ... tetragonal



19.
# CoPdPtAu

An optimized crystal structure of CoPdPtAu (PBE-GGA, the Alexandria database).

Geometry as POSCAR:
```
CoPdPtAu
1.0
-1.538 -2.300 0.350
2.141 -1.235 1.293
-2.538 2.736 6.816
Co Pd Pt Au
1 1 1 1
Direct
0.000 0.000 0.571 Co
0.500 0.500 0.795 Pd
0.500 0.500 0.350 Pt
0.000 0.000 0.069 Au
```

Summary:
E_form ... -21 meV/atom
Crystal system ... tetragonal



20.
# Co2RePdAu

An optimized crystal structure of Co2RePdAu (PBE-GGA, the Alexandria database).

Geometry as POSCAR:
```
Co2RePdAu
1.0
4.375 0.000 0.000
0.000 5.031 0.000
0.000 0.000 4.375
Re Au Pd Co
1 1 1 2
Direct
0.000 0.000 0.000 Re
0.000 0.500 0.000 Au
0.500 0.500 0.500 Pd
0.000 0.000 0.500 Co
0.500 0.000 0.000 Co
```

Summary:
E_form ... 1471 meV/atom
Crystal system ... tetragonal



One value per record, in order, for calculated volume: 226.9, 106.3, 141.7, 121.9, 153.2, 191.5, 146.6, 78.2, 44.8, 89.4, 170.9, 45.2, 186.4, 279.7, 148.5, 91.3, 185.9, 138.0, 60.4, 96.3 Å³/cell.